(1)
A plane-wave DFT calculation with PBE was carried out for an optimized crystal structure of Ca3SmPb2S.

Lattice parameters (Å, degrees): 5.1933 5.3611 16.4248 90.00 90.00 90.00
Closest atoms and distances in Å follow each position.
Space group Immm (No. 71)
Symmetry-distinct sites (fractional):
Ca (0.0000, 0.0000, 0.0000) x2  2 S 2.60
Ca (0.0000, 0.5000, 0.3241) x4  1 S 2.89, 1 Pb 3.20
Sm (0.0000, 0.0000, 0.5000) x2  2 S 2.68
Pb (0.0000, 0.5000, 0.1290) x4  3 Ca 3.20-3.42, 2 Sm 3.35
S (0.0000, 0.5000, 0.5000) x2  4 Ca 2.60-2.89, 2 Sm 2.68

Summary:
- Calculated total energy: -4.05 eV per atom



(2)
A plane-wave DFT calculation with PBE was carried out for an optimized crystal structure of Ca2SmPbS4.

Lattice parameters (Å, degrees): 7.0739 4.0518 7.1305 90.00 109.28 90.00
Closest atoms and distances in Å follow each position.
Space group P2/m (No. 10)
Symmetry-distinct sites (fractional):
Ca (0.0000, 0.0000, 0.0000) x1  6 S 2.88-2.92
Ca (0.0000, 0.5000, 0.5000) x1  6 S 2.82-2.84
Sm (0.5000, 0.0000, 0.5000) x1  6 S 2.88-2.89
Pb (0.5000, 0.5000, 0.0000) x1  6 S 2.95
S (0.2411, 0.0000, 0.7378) x2  3 Ca 2.82-2.92, 1 Sm 2.88, 2 Pb 2.95
S (0.2449, 0.5000, 0.2543) x2  3 Ca 2.84-2.88, 2 Sm 2.89, 1 Pb 2.95

Summary:
- Calculated total energy: -5.26 eV per atom



(3)
A plane-wave DFT calculation with PBE was carried out for an optimized crystal structure of Ca3SnPb3S8.

Lattice parameters (Å, degrees): 8.1786 8.1786 20.5799 90.00 90.00 120.00
Closest atoms and distances in Å follow each position.
Space group R-3m (No. 166, hexagonal axes)
Symmetry-distinct sites (fractional):
Ca (0.0000, 0.5000, 0.0000) x9  6 S 2.85-2.87
Sn (0.0000, 0.0000, 0.0000) x3  6 S 2.62
Pb (0.0000, 0.5000, 0.5000) x9  6 S 2.99-3.00
S (0.0000, 0.0000, 0.2560) x6  3 Ca 2.85, 3 Pb 2.99
S (0.0277, 0.5138, 0.7383) x18  1 Sn 2.62, 2 Ca 2.87

Summary:
- Calculated total energy: -4.74 eV per atom